(1)
First-principles (GGA-PBE) data for a geometry-optimized Sr2LiCuN structure, as listed in Alexandria.

formation energy from raw total energies = -1.2 eV per formula unit
E_tot = -0.278 Ry/atom

The structure in CIF format:
```
data_Sr2LiCuN
_chemical_formula_sum 'Sr2 Li1 Cu1 N1'
_symmetry_space_group_name_H-M 'P 4/m m m'
_symmetry_Int_Tables_number 123
_symmetry_space_group_name_Hall '-P 4 2'
_cell_length_a 5.269
_cell_length_b 5.269
_cell_length_c 4.036
_cell_angle_alpha 90.00
_cell_angle_beta 90.00
_cell_angle_gamma 90.00
loop_
_atom_site_label
_atom_site_fract_x
_atom_site_fract_y
_atom_site_fract_z
Sr1 0.000 0.500 0.000
Li1 0.000 0.000 0.500
Cu1 0.500 0.500 0.500
N1 0.000 0.000 0.000
```



(2)
First-principles (GGA-PBE) data for a geometry-optimized Tc2AsAu structure, as listed in Alexandria.

E_tot = -0.505 Ry/atom

The structure in CIF format:
```
data_Tc2AsAu
_chemical_formula_sum 'Tc4 As2 Au2'
_symmetry_space_group_name_H-M 'C 1 2/m 1'
_symmetry_Int_Tables_number 12
_cell_length_a 8.045
_cell_length_b 2.969
_cell_length_c 5.577
_cell_angle_alpha 90.00
_cell_angle_beta 101.94
_cell_angle_gamma 90.00
loop_
_symmetry_equiv_pos_as_xyz
'x,y,z'
'-x,-y,-z'
'-x,y,-z'
'x,-y,z'
'x+1/2,y+1/2,z'
'-x+1/2,-y+1/2,-z'
'-x+1/2,y+1/2,-z'
'x+1/2,-y+1/2,z'
loop_
_atom_site_label
_atom_site_fract_x
_atom_site_fract_y
_atom_site_fract_z
Tc1 0.242 0.000 0.206
As1 0.000 0.500 0.000
Au1 0.000 0.000 0.500
```



(3)
First-principles (GGA-PBE) data for a geometry-optimized Co2AgAu structure, as listed in Alexandria.

E_tot = -0.362 Ry/atom

The structure in CIF format:
```
data_Co2AgAu
_chemical_formula_sum 'Co2 Ag1 Au1'
_symmetry_space_group_name_H-M 'P 4 m m'
_symmetry_Int_Tables_number 99
_cell_length_a 2.801
_cell_length_b 2.801
_cell_length_c 7.432
_cell_angle_alpha 90.00
_cell_angle_beta 90.00
_cell_angle_gamma 90.00
loop_
_symmetry_equiv_pos_as_xyz
'x,y,z'
'-y,x,z'
'-x,-y,z'
'y,-x,z'
'-x,y,z'
'y,x,z'
'x,-y,z'
'-y,-x,z'
loop_
_atom_site_label
_atom_site_fract_x
_atom_site_fract_y
_atom_site_fract_z
Co1 0.000 0.000 0.000
Co2 0.500 0.500 0.176
Ag1 0.000 0.000 0.440
Au1 0.500 0.500 0.739
```



(4)
First-principles (GGA-PBE) data for a geometry-optimized Dy2CoSe structure, as listed in Alexandria.

formation energy from raw total energies = -3.9 eV per formula unit
E_tot = -0.435 Ry/atom

The structure in CIF format:
```
data_Dy2CoSe
_chemical_formula_sum 'Dy8 Co4 Se4'
_symmetry_space_group_name_H-M 'C m c m'
_symmetry_Int_Tables_number 63
_symmetry_space_group_name_Hall '-C 2c 2'
_cell_length_a 4.049
_cell_length_b 22.259
_cell_length_c 3.978
_cell_angle_alpha 90.00
_cell_angle_beta 90.00
_cell_angle_gamma 90.00
loop_
_atom_site_label
_atom_site_fract_x
_atom_site_fract_y
_atom_site_fract_z
Dy1 0.000 0.064 0.250
Dy2 0.000 0.326 0.250
Co1 0.000 0.474 0.250
Se1 0.000 0.194 0.250
```



(5)
First-principles (GGA-PBE) data for a geometry-optimized Li2PrTm2Sn2 structure, as listed in Alexandria.

E_tot = -0.302 Ry/atom

The structure in CIF format:
```
data_Li2PrTm2Sn2
_chemical_formula_sum 'Li6 Pr3 Tm6 Sn6'
_symmetry_space_group_name_H-M 'R -3 m'
_symmetry_Int_Tables_number 166
_symmetry_space_group_name_Hall '-R 3 2"'
_cell_length_a 4.8164
_cell_length_b 4.8164
_cell_length_c 26.6159
_cell_angle_alpha 90.00
_cell_angle_beta 90.00
_cell_angle_gamma 120.00
loop_
_atom_site_label
_atom_site_fract_x
_atom_site_fract_y
_atom_site_fract_z
Li1 0.0000 0.0000 0.0859
Pr1 0.0000 0.0000 0.5000
Tm1 0.0000 0.0000 0.3690
Sn1 0.0000 0.0000 0.2419
```



(6)
First-principles (GGA-PBE) data for a geometry-optimized NiPd2Ru structure, as listed in Alexandria.

E_tot = -0.451 Ry/atom

The structure in CIF format:
```
data_NiPd2Ru
_chemical_formula_sum 'Ni1 Pd2 Ru1'
_symmetry_space_group_name_H-M 'P 4/m m m'
_symmetry_Int_Tables_number 123
_symmetry_space_group_name_Hall '-P 4 2'
_cell_length_a 3.811
_cell_length_b 3.811
_cell_length_c 3.849
_cell_angle_alpha 90.00
_cell_angle_beta 90.00
_cell_angle_gamma 90.00
loop_
_atom_site_label
_atom_site_fract_x
_atom_site_fract_y
_atom_site_fract_z
Ni1 0.000 0.000 0.000
Pd1 0.000 0.500 0.500
Ru1 0.500 0.500 0.000
```